Record 1
First-principles (PBE-GGA) data for an optimized crystal structure of Cs2TiTeI6, as listed in the Alexandria database.

Output
formation energy from raw total energies	-767	kJ/mol of formula units
space-group type	I4/mmm
M_tot	0.001	μB per cell

abc: 8.7039 8.7039 8.7039
angles: 116.21 116.21 96.70
Closest atoms and distances in Å follow each position.
Sites, in units of the cell vectors:
Cs 0.2500 0.7500 0.5000  12 I 4.38-4.60
Cs 0.7500 0.2500 0.5000  12 I 4.38-4.60
Ti 0.0000 0.0000 0.0000  6 I 2.79-2.82
Te 0.5000 0.5000 0.0000  2 I 2.97
I 0.2145 0.2145 0.4289  1 Ti 2.79
I 0.2145 0.7855 0.0000  1 Ti 2.79
I 0.2434 0.2434 0.0000  1 Ti 2.82, 1 Te 2.97
I 0.7566 0.7566 0.0000  1 Ti 2.82, 1 Te 2.97
I 0.7855 0.2145 0.0000  1 Ti 2.79
I 0.7855 0.7855 0.5711  1 Ti 2.79

Record 2
First-principles (PBE-GGA) data for an optimized crystal structure of CsTlTeI2, as listed in the Alexandria database.

Output
formation energy from raw total energies	-33	kJ/mol of formula units
space-group type	P4/mmm
M_tot	2.076	μB per cell
offset from the most stable computed form	2.52	eV per formula unit

abc: 7.1908 7.1908 6.9216
angles: 90.00 90.00 90.00
Closest atoms and distances in Å follow each position.
Sites, in units of the cell vectors:
Cs 0.0000 0.0000 0.0000  2 Te 3.46, 4 I 3.60
Tl 0.5000 0.5000 0.5000  8 I 4.99, 4 Te 5.08
Te 0.0000 0.0000 0.5000  2 Cs 3.46
I 0.0000 0.5000 0.0000  2 Cs 3.60
I 0.5000 0.0000 0.0000  2 Cs 3.60

Record 3
First-principles (PBE-GGA) data for an optimized crystal structure of Cs2Tl2TeI2, as listed in the Alexandria database.

Output
formation energy from raw total energies	-615	kJ/mol of formula units
space-group type	C2/m
M_tot	0.000	μB per cell

abc: 7.9259 7.9259 10.2993
angles: 117.01 117.01 38.00
Closest atoms and distances in Å follow each position.
Sites, in units of the cell vectors:
Cs 0.0549 0.0549 0.3125  2 Te 3.89, 3 I 3.95-4.03
Cs 0.9451 0.9451 0.6875  2 Te 3.89, 3 I 3.95-4.03
Tl 0.2784 0.2784 0.9152  1 Te 3.00
Tl 0.7216 0.7216 0.0848  1 Te 3.00
Te 0.5000 0.5000 0.0000  2 Tl 3.00
I 0.3280 0.3280 0.3443  2 Tl 3.50
I 0.6720 0.6720 0.6557  2 Tl 3.50

Record 4
First-principles (PBE-GGA) data for an optimized crystal structure of CsTl2TeI, as listed in the Alexandria database.

Output
formation energy from raw total energies	-346	kJ/mol of formula units
space-group type	P2_1/m
M_tot	0.000	μB per cell

abc: 8.7974 4.9599 10.5107
angles: 90.00 91.05 90.00
Closest atoms and distances in Å follow each position.
Sites, in units of the cell vectors:
Cs 0.0073 0.2500 0.2603  3 I 3.82-3.87, 2 Te 3.96, 2 Tl 4.25
Cs 0.9927 0.7500 0.7397  3 I 3.82-3.87, 2 Te 3.96, 2 Tl 4.25
Tl 0.3276 0.7500 0.0764  3 Te 3.25-3.26
Tl 0.4870 0.7500 0.7066  1 I 3.31, 2 Te 3.46
Tl 0.5130 0.2500 0.2934  1 I 3.31, 2 Te 3.46
Tl 0.6724 0.2500 0.9236  3 Te 3.25-3.26
Te 0.3058 0.2500 0.8759  5 Tl 3.25-3.46
Te 0.6942 0.7500 0.1241  5 Tl 3.25-3.46
I 0.2559 0.7500 0.4547  1 Tl 3.31
I 0.7441 0.2500 0.5453  1 Tl 3.31